1.
VASP calculation (meta-GGA SCAN) on K2Au at its PBEsol-relaxed geometry.

Cell lengths 3.9371, 3.9371, 31.6757 Å; angles 90.00, 90.00, 90.00 degrees
Closest atoms and distances in Å follow each position.
Space group I4_1/amd (No. 141, origin choice 2)
Symmetry-distinct sites (fractional):
K  0.0000  0.2500  0.3163  4 Au 3.35, 1 K 3.72
Au  0.0000  0.2500  0.8750  8 K 3.35

**Total moment**: 0.22 μB per cell
**Calculated formation energy**: -0.27 eV per atom
**Mass density**: 3.7 Mg/m³
**Calculated total energy**: -1.06121 Ha/atom

***

2.
VASP calculation (meta-GGA SCAN) on Sr4Nb3PO14 at its PBEsol-relaxed geometry.

Cell lengths 4.0694, 5.7028, 13.1346 Å; angles 94.24, 97.48, 91.28 degrees
Closest atoms and distances in Å follow each position.
Space group P1 (No. 1)
Symmetry-distinct sites (fractional):
Sr  0.0000  0.0000  0.0000  6 O 2.49-2.69
Sr  0.1265  0.5411  0.2337  7 O 2.56-2.78
Sr  0.2824  0.1255  0.5550  6 O 2.46-2.58
Sr  0.8373  0.6517  0.7307  7 O 2.45-2.67
Nb  0.5381  0.4954  0.0075  3 O 1.83-1.95
Nb  0.6266  0.0368  0.2340  4 O 1.87-2.00
Nb  0.7221  0.5928  0.4561  3 O 1.85-1.97
P  0.2951  0.1357  0.7922  4 O 1.52-1.60
O  0.0666  0.4719  0.0216  2 Nb 1.95-2.14
O  0.1472  0.0149  0.2187  2 Nb 1.94-2.16
O  0.2329  0.5698  0.4343  2 Nb 1.97-2.14
O  0.3259  0.3576  0.7328  1 P 1.55
O  0.3765  0.9212  0.7209  1 P 1.55
O  0.4797  0.1843  0.9077  1 P 1.60
O  0.5755  0.6857  0.9031  1 Nb 1.83
O  0.6075  0.7454  0.1165  1 Nb 1.93
O  0.6270  0.2331  0.1143  2 Nb 2.00-2.13
O  0.6919  0.2988  0.3300  1 Nb 1.87
O  0.6918  0.7727  0.3197  2 Nb 1.95-2.12
O  0.7781  0.8620  0.5446  1 Nb 1.85
O  0.7829  0.3770  0.5570  1 Nb 1.87
O  0.9457  0.0773  0.8146  1 P 1.52

**Total moment**: 0.00 μB per cell
**Uncorrected formation energy**: -3.06 eV per atom
**Mass density**: 4.9 Mg/m³
**Calculated total energy**: -0.59023 Ha/atom

***

3.
VASP calculation (meta-GGA SCAN) on ZrBiBr2 at its PBEsol-relaxed geometry.

Cell lengths 9.1820, 9.1820, 5.7653 Å; angles 90.00, 90.00, 90.00 degrees
Closest atoms and distances in Å follow each position.
Space group I-42d (No. 122)
Symmetry-distinct sites (fractional):
Zr  0.0000  0.0000  0.0000  4 Br 2.70, 2 Bi 2.88
Bi  0.0000  0.0000  0.5000  2 Zr 2.88
Br  0.1327  0.7500  0.1250  2 Zr 2.70

**Relative energy among the computed polymorphs**: 0.0000 eV/atom
**Total moment**: 0.00 μB per cell
**Uncorrected formation energy**: -0.49 eV per atom
**Mass density**: 6.3 Mg/m³
**Calculated total energy**: -1.37957 Ha/atom

***

4.
VASP calculation (meta-GGA SCAN) on InPb2SBr at its PBEsol-relaxed geometry.

Cell lengths 5.6282, 5.6282, 5.0158 Å; angles 90.00, 90.00, 90.00 degrees
Closest atoms and distances in Å follow each position.
Space group P4/mmm (No. 123)
Symmetry-distinct sites (fractional):
In  0.0000  0.0000  0.0000  8 Pb 3.77, 4 S 3.98
Pb  0.0000  0.5000  0.5000  2 Br 2.81
S  0.5000  0.5000  0.0000  2 Br 2.51
Br  0.5000  0.5000  0.5000  2 S 2.51

**Total moment**: 0.00 μB per cell
**Uncorrected formation energy**: 0.50 eV per atom
**Mass density**: 6.7 Mg/m³
**Calculated total energy**: -1.55477 Ha/atom

***

5.
VASP calculation (meta-GGA SCAN) on Cd2BiTe at its PBEsol-relaxed geometry.

Cell lengths 7.4352, 7.4352, 7.4352 Å; angles 90.00, 90.00, 90.00 degrees
Closest atoms and distances in Å follow each position.
Space group Fm-3m (No. 225)
Symmetry-distinct sites (fractional):
Cd  0.2500  0.2500  0.2500  4 Bi 3.22, 4 Te 3.22
Bi  0.0000  0.0000  0.0000  8 Cd 3.22
Te  0.0000  0.0000  0.5000  8 Cd 3.22

**Total moment**: 0.00 μB per cell
**Uncorrected formation energy**: 0.19 eV per atom
**Mass density**: 9.1 Mg/m³
**Calculated total energy**: -1.61589 Ha/atom

***

6.
VASP calculation (meta-GGA SCAN) on MnIn2Fe at its PBEsol-relaxed geometry.

Cell lengths 2.8908, 3.8258, 5.8161 Å; angles 90.00, 90.00, 90.00 degrees
Closest atoms and distances in Å follow each position.
Space group Pmmm (No. 47)
Symmetry-distinct sites (fractional):
Mn  0.0000  0.0000  0.0000  8 In 2.82, 2 Mn 2.89, 2 Fe 2.91
In  0.5000  0.5000  0.2537  4 Fe 2.79, 4 Mn 2.82, 4 In 2.86-2.95
Fe  0.0000  0.0000  0.5000  8 In 2.79, 2 Fe 2.89, 2 Mn 2.91

**Total moment**: 6.08 μB per cell
**Calculated formation energy**: 0.10 eV per atom
**Mass density**: 8.8 Mg/m³
**Calculated total energy**: -0.94396 Ha/atom

***

7.
VASP calculation (meta-GGA SCAN) on CeCoGeH at its PBEsol-relaxed geometry.

Cell lengths 3.9647, 3.9647, 7.1099 Å; angles 90.00, 90.00, 90.00 degrees
Closest atoms and distances in Å follow each position.
Space group P4/nmm (No. 129, origin choice 2)
Symmetry-distinct sites (fractional):
Ce  0.2500  0.2500  0.1752  4 H 2.34
Co  0.2500  0.7500  0.5000  4 Ge 2.35
Ge  0.2500  0.2500  0.6788  4 Co 2.35
H  0.2500  0.7500  0.0000  4 Ce 2.34

**Total moment**: 0.05 μB per cell
**Mass density**: 8.1 Mg/m³
**Calculated total energy**: -0.79897 Ha/atom

***

8.
VASP calculation (meta-GGA SCAN) on AlFe2Si at its PBEsol-relaxed geometry.

Cell lengths 3.0143, 3.0143, 5.1769 Å; angles 90.00, 90.00, 90.00 degrees
Closest atoms and distances in Å follow each position.
Space group P4mm (No. 99)
Symmetry-distinct sites (fractional):
Al  0.0000  0.0000  0.0000  6 Fe 2.44-2.59, 4 Si 2.63
Fe  0.0000  0.0000  0.5005  4 Si 2.38, 4 Fe 2.55, 2 Al 2.59
Fe  0.5000  0.5000  0.2310  4 Al 2.44, 2 Si 2.45-2.73, 4 Fe 2.55
Si  0.5000  0.5000  0.7037  5 Fe 2.38-2.45, 4 Al 2.63

**Total moment**: 3.96 μB per cell
**Uncorrected formation energy**: -0.27 eV per atom
**Mass density**: 5.9 Mg/m³
**Calculated total energy**: -0.50634 Ha/atom